The following is a DFT calculation (PBE with a Hubbard U) of an optimized crystal structure of SrMoPtO6.

DFT total energy = -58.82 eV/cell
Space group = P312, No. 149

a b c (Å): 5.3320 5.3320 5.3519
angles (deg): 90.00 90.00 120.00
With the nearest neighbours (Å) after each atom.
Fractional coordinates of all 9 atoms:
Sr 0.0000 0.0000 0.0000  6 O 2.56
Mo 0.3333 0.6667 0.5000  6 O 1.96
Pt 0.6667 0.3333 0.5000  6 O 2.04
O 0.0112 0.3815 0.7030  1 Mo 1.96, 1 Pt 2.04
O 0.0112 0.6297 0.2970  1 Mo 1.96, 1 Pt 2.04
O 0.3703 0.3815 0.2970  1 Mo 1.96, 1 Pt 2.04
O 0.3703 0.9888 0.7030  1 Mo 1.96, 1 Pt 2.04
O 0.6185 0.6297 0.7030  1 Mo 1.96, 1 Pt 2.04
O 0.6185 0.9888 0.2970  1 Mo 1.96, 1 Pt 2.04